Entry 1:
! PIrOsCl2 (PBE, optimized geometry); values from VASP
&SYSTEM
  ibrav = 0, nat = 5, ntyp = 4
/
ATOMIC_SPECIES
Os 190.23 Os.upf
Cl 35.45 Cl.upf
P 30.97 P.upf
Ir 192.22 Ir.upf
CELL_PARAMETERS angstrom
4.840 0.000 0.000
0.000 4.840 0.000
0.000 0.000 4.571
ATOMIC_POSITIONS crystal
Os 0.500 0.500 0.500
Cl 0.000 0.500 0.000
P 0.000 0.000 0.500
Cl 0.500 0.000 0.000
Ir 0.000 0.000 0.000
! - total magnetic moment (μB/f.u.) = 3.797
! - relative energy among the computed polymorphs (meV per atom) = 35
! - symmetry = P4/mmm
! - energy relative to the elements, uncorrected (eV/atom) = 1.388


Entry 2:
! P2IrOsCl (PBE, optimized geometry); values from VASP
&SYSTEM
  ibrav = 0, nat = 5, ntyp = 4
/
ATOMIC_SPECIES
Ir 192.22 Ir.upf
P 30.97 P.upf
Cl 35.45 Cl.upf
Os 190.23 Os.upf
CELL_PARAMETERS angstrom
-3.127 -1.237 3.012
0.047 -4.193 -1.673
3.474 -1.203 3.112
ATOMIC_POSITIONS crystal
Ir 0.500 0.500 0.500
P 0.000 0.500 0.000
Cl 0.000 0.000 0.500
Os 0.000 0.000 0.000
P 0.500 0.000 0.000
! - total magnetic moment (μB/f.u.) = 1.518
! - relative energy among the computed polymorphs (meV per atom) = 0
! - symmetry = P4/mmm
! - energy relative to the elements, uncorrected (eV/atom) = 1.237


Entry 3:
! PIrOsCl2 (PBE, optimized geometry); values from VASP
&SYSTEM
  ibrav = 0, nat = 5, ntyp = 4
/
ATOMIC_SPECIES
Cl 35.45 Cl.upf
P 30.97 P.upf
Os 190.23 Os.upf
Ir 192.22 Ir.upf
CELL_PARAMETERS angstrom
4.776 0.000 0.000
0.000 4.776 0.000
0.000 0.000 4.540
ATOMIC_POSITIONS crystal
Cl 0.500 0.000 0.000
P 0.000 0.000 0.500
Os 0.000 0.000 0.000
Ir 0.500 0.500 0.500
Cl 0.000 0.500 0.000
! - total magnetic moment (μB/f.u.) = 2.148
! - relative energy among the computed polymorphs (meV per atom) = 0
! - symmetry = P4/mmm
! - energy relative to the elements, uncorrected (eV/atom) = 1.354